Below is Na2CoOsO6 after structural relaxation, with properties calculated at the PBE+U level.

Cell: 7.652 7.652 7.652 Å, 90.00 90.00 90.00°
Space group Fm-3m (No. 225)
Asymmetric unit:
Na1 0.250 0.250 0.250
Co1 0.000 0.000 0.000
Os1 0.000 0.000 0.500
O1 0.000 0.000 0.256

Output
E: -241.1 eV per cell
Total magnetic moment: 12.0 μB/cell